(1)
# LaMgZn3 (PBE, relaxed)
# Formation energy, eV/atom: 0.136
data_LaMgZn3
_chemical_formula_sum 'La1 Mg1 Zn3'
_cell_length_a 4.922
_cell_length_b 4.922
_cell_length_c 4.922
_cell_angle_alpha 90.00
_cell_angle_beta 90.00
_cell_angle_gamma 90.00
_space_group_name_H-M_alt 'P m -3 m'
_space_group_IT_number 221
_space_group_name_Hall '-P 4 2 3'
loop_
_atom_site_label
_atom_site_type_symbol
_atom_site_fract_x
_atom_site_fract_y
_atom_site_fract_z
_atom_site_occupancy
La1 La 0.000 0.000 0.000 1
Mg1 Mg 0.500 0.500 0.500 1
Zn1 Zn 0.000 0.500 0.500 1

(2)
# LaMg2Zn (PBE, relaxed)
# Formation energy, eV/atom: -0.210
data_LaMg2Zn
_chemical_formula_sum 'La2 Mg4 Zn2'
_cell_length_a 7.262
_cell_length_b 7.288
_cell_length_c 5.138
_cell_angle_alpha 90.00
_cell_angle_beta 134.90
_cell_angle_gamma 90.00
_space_group_name_H-M_alt 'C 1 2 1'
_space_group_IT_number 5
_space_group_name_Hall 'C 2y'
loop_
_atom_site_label
_atom_site_type_symbol
_atom_site_fract_x
_atom_site_fract_y
_atom_site_fract_z
_atom_site_occupancy
La1 La 0.000 0.000 0.000 1
Mg1 Mg 0.000 0.250 0.500 1
Mg2 Mg 0.000 0.500 0.000 1
Zn1 Zn 0.000 0.750 0.500 1

(3)
# La6MgZn5 (PBE, relaxed)
# Formation energy, eV/atom: -0.275
data_La6MgZn5
_chemical_formula_sum 'La12 Mg2 Zn10'
_cell_length_a 5.347
_cell_length_b 7.604
_cell_length_c 16.072
_cell_angle_alpha 90.00
_cell_angle_beta 90.00
_cell_angle_gamma 90.00
_space_group_name_H-M_alt 'I m m m'
_space_group_IT_number 71
_space_group_name_Hall '-I 2 2'
loop_
_atom_site_label
_atom_site_type_symbol
_atom_site_fract_x
_atom_site_fract_y
_atom_site_fract_z
_atom_site_occupancy
La1 La 0.000 0.237 0.000 1
La2 La 0.000 0.256 0.329 1
Mg1 Mg 0.000 0.000 0.500 1
Zn1 Zn 0.000 0.000 0.167 1
Zn2 Zn 0.000 0.500 0.157 1
Zn3 Zn 0.000 0.500 0.500 1

(4)
# La8Mg2Zn (PBE, relaxed)
# Formation energy, eV/atom: -0.059
data_La8Mg2Zn
_chemical_formula_sum 'La16 Mg4 Zn2'
_cell_length_a 16.990
_cell_length_b 5.611
_cell_length_c 8.976
_cell_angle_alpha 90.00
_cell_angle_beta 121.30
_cell_angle_gamma 90.00
_space_group_name_H-M_alt 'C 1 2/m 1'
_space_group_IT_number 12
_space_group_name_Hall '-C 2y'
loop_
_atom_site_label
_atom_site_type_symbol
_atom_site_fract_x
_atom_site_fract_y
_atom_site_fract_z
_atom_site_occupancy
La1 La 0.073 0.000 0.222 1
La2 La 0.086 0.500 0.935 1
La3 La 0.130 0.000 0.678 1
La4 La 0.179 0.500 0.450 1
Mg1 Mg 0.231 0.000 0.112 1
Zn1 Zn 0.000 0.500 0.500 1

(5)
# LaMg9Zn2 (PBE, relaxed)
# Formation energy, eV/atom: -0.099
data_LaMg9Zn2
_chemical_formula_sum 'La4 Mg36 Zn8'
_cell_length_a 11.930
_cell_length_b 11.930
_cell_length_c 7.631
_cell_angle_alpha 90.00
_cell_angle_beta 90.00
_cell_angle_gamma 90.00
_space_group_name_H-M_alt 'I 41/a m d'
_space_group_IT_number 141
loop_
_space_group_symop_operation_xyz
'x,y,z'
'-x,-y,-z'
'-y+1/4,x+3/4,z+1/4'
'y+1/4,-x+3/4,-z+1/4'
'-x+1/2,-y,z+1/2'
'x+1/2,y,-z+1/2'
'y+1/4,-x+1/4,z+3/4'
'-y+1/4,x+1/4,-z+3/4'
'x,-y,-z'
'-x,y,z'
'-y+1/4,-x+1/4,-z+3/4'
'y+1/4,x+1/4,z+3/4'
'-x+1/2,y,-z+1/2'
'x+1/2,-y,z+1/2'
'y+1/4,x+3/4,-z+1/4'
'-y+1/4,-x+3/4,z+1/4'
'x+1/2,y+1/2,z+1/2'
'-x+1/2,-y+1/2,-z+1/2'
'-y+3/4,x+1/4,z+3/4'
'y+3/4,-x+1/4,-z+3/4'
'-x,-y+1/2,z'
'x,y+1/2,-z'
'y+3/4,-x+3/4,z+1/4'
'-y+3/4,x+3/4,-z+1/4'
'x+1/2,-y+1/2,-z+1/2'
'-x+1/2,y+1/2,z+1/2'
'-y+3/4,-x+3/4,-z+1/4'
'y+3/4,x+3/4,z+1/4'
'-x,y+1/2,-z'
'x,-y+1/2,z'
'y+3/4,x+1/4,-z+3/4'
'-y+3/4,-x+1/4,z+3/4'
loop_
_atom_site_label
_atom_site_type_symbol
_atom_site_fract_x
_atom_site_fract_y
_atom_site_fract_z
_atom_site_occupancy
La1 La 0.000 0.250 0.375 1
Mg1 Mg 0.000 0.250 0.875 1
Mg2 Mg 0.122 0.051 0.683 1
Zn1 Zn 0.000 0.000 0.000 1

(6)
# LaMg2Zn (PBE, relaxed)
# Formation energy, eV/atom: -0.092
data_LaMg2Zn
_chemical_formula_sum 'La1 Mg2 Zn1'
_cell_length_a 3.357
_cell_length_b 3.357
_cell_length_c 8.539
_cell_angle_alpha 90.00
_cell_angle_beta 90.00
_cell_angle_gamma 90.00
_space_group_name_H-M_alt 'P 4/m m m'
_space_group_IT_number 123
_space_group_name_Hall '-P 4 2'
loop_
_atom_site_label
_atom_site_type_symbol
_atom_site_fract_x
_atom_site_fract_y
_atom_site_fract_z
_atom_site_occupancy
La1 La 0.000 0.000 0.000 1
Mg1 Mg 0.500 0.500 0.307 1
Zn1 Zn 0.000 0.000 0.500 1

(7)
# LaMg2Zn (PBE, relaxed)
# Formation energy, eV/atom: -0.120
data_LaMg2Zn
_chemical_formula_sum 'La2 Mg4 Zn2'
_cell_length_a 4.699
_cell_length_b 3.335
_cell_length_c 12.769
_cell_angle_alpha 90.00
_cell_angle_beta 90.00
_cell_angle_gamma 90.00
_space_group_name_H-M_alt 'A m m 2'
_space_group_IT_number 38
_space_group_name_Hall 'A 2 -2'
loop_
_atom_site_label
_atom_site_type_symbol
_atom_site_fract_x
_atom_site_fract_y
_atom_site_fract_z
_atom_site_occupancy
La1 La 0.000 0.000 0.000 1
Mg1 Mg 0.000 0.000 0.266 1
Mg2 Mg 0.500 0.000 0.675 1
Zn1 Zn 0.500 0.000 0.388 1

(8)
# LaMg2Zn (PBE, relaxed)
# Formation energy, eV/atom: -0.047
data_LaMg2Zn
_chemical_formula_sum 'La2 Mg4 Zn2'
_cell_length_a 9.902
_cell_length_b 3.346
_cell_length_c 6.272
_cell_angle_alpha 90.00
_cell_angle_beta 101.84
_cell_angle_gamma 90.00
_space_group_name_H-M_alt 'C 1 m 1'
_space_group_IT_number 8
_space_group_name_Hall 'C -2y'
loop_
_atom_site_label
_atom_site_type_symbol
_atom_site_fract_x
_atom_site_fract_y
_atom_site_fract_z
_atom_site_occupancy
La1 La 0.000 0.000 0.000 1
Mg1 Mg 0.021 0.500 0.524 1
Mg2 Mg 0.271 0.500 0.332 1
Zn1 Zn 0.251 0.000 0.722 1

> Which formula does entry 3 have?

La6MgZn5

> Which formula does entry 7 have?

LaMg2Zn

> formation energy of number 6 (LaMg2Zn)?

-0.092 eV/atom